[1]
Here is a relaxed structure of Er8BSe4S3 from Alexandria. Energies are from GGA-PBE.

POSCAR file:
```
Er8BSe4S3
1.0
-6.2332 4.7364 0.2754
-2.8187 -3.3211 -6.6797
1.7286 -4.5593 6.1309
Er B S Se
8 1 3 4
direct
0.7609 0.7183 0.9896
0.7713 0.2816 0.5426
0.2575 0.2726 0.5150
0.2287 0.7184 0.4574
0.7713 0.2817 0.0104
0.7425 0.7274 0.4850
0.2287 0.7183 0.9896
0.2391 0.2817 0.0104
0.0000 0.5000 0.0000
0.0000 0.5000 0.5000
0.5000 0.5000 0.0000
0.5000 0.5000 0.5000
0.5000 0.0000 0.5000
0.0000 0.0000 0.5000
0.5000 0.0000 0.0000
0.0000 0.0000 0.0000
```

Properties
Its total energy is -96.81 eV for the cell shown. The density of states at the Fermi level is 0.390 states/eV/atom. The uncorrected formation energy comes out at -1.707 eV per atom. Its volume is 21.8 Å³/atom.

***

[2]
Here is a relaxed structure of Er5BSb2 from Alexandria. Energies are from GGA-PBE.

POSCAR file:
```
Er5BSb2
1.0
-3.0734 -2.5475 3.5137
3.2253 -5.4031 -5.1206
10.2304 -1.4069 7.9284
Er B Sb
10 2 4
direct
0.2850 0.5699 0.0846
0.2850 0.5699 0.4154
0.7042 0.4084 0.2500
0.7150 0.4301 0.9154
0.9292 0.8584 0.6204
0.0708 0.1416 0.1204
0.7150 0.4301 0.5846
0.2958 0.5916 0.7500
0.9292 0.8584 0.8796
0.0708 0.1416 0.3796
0.1872 0.3743 0.2500
0.8128 0.6257 0.7500
0.8694 0.7388 0.0985
0.1306 0.2612 0.5985
0.1306 0.2612 0.9015
0.8694 0.7388 0.4015
```

Properties
Its total energy is -79.19 eV for the cell shown. The density of states at the Fermi level is 1.191 states/eV/atom. The uncorrected formation energy comes out at -0.232 eV per atom. Its volume is 33.2 Å³/atom.

***

[3]
Here is a relaxed structure of ErBSb from Alexandria. Energies are from GGA-PBE.

POSCAR file:
```
ErBSb
1.0
3.9049 0.0000 0.0000
-1.9525 5.0385 0.5249
0.0000 -2.2254 5.9914
Er Sb B
2 2 2
direct
0.1188 0.2377 0.8274
0.8812 0.7623 0.1726
0.6309 0.2618 0.4371
0.3691 0.7382 0.5629
0.4192 0.8385 0.9266
0.5808 0.1615 0.0734
```

Properties
Its total energy is -32.19 eV for the cell shown. The density of states at the Fermi level is 0.482 states/eV/atom. The uncorrected formation energy comes out at -0.244 eV per atom. Its volume is 20.4 Å³/atom.

***

[4]
Here is a relaxed structure of Er6BSb2 from Alexandria. Energies are from GGA-PBE.

POSCAR file:
```
Er6BSb2
1.0
-5.4341 2.7775 -2.5868
-3.6893 -2.8037 4.7396
1.7249 10.3001 7.4357
Er Sb B
12 4 2
direct
0.2263 0.7737 0.5000
0.6888 0.6888 0.3636
0.8112 0.1888 0.8636
0.8112 0.1888 0.1364
0.1888 0.8112 0.8636
0.3112 0.3112 0.3636
0.3112 0.3112 0.6364
0.1888 0.8112 0.1364
0.7263 0.7263 0.0000
0.7737 0.2263 0.5000
0.2737 0.2737 0.0000
0.6888 0.6888 0.6364
0.5000 0.5000 0.1736
0.0000 0.0000 0.3264
0.0000 0.0000 0.6736
0.5000 0.5000 0.8264
0.0000 0.0000 0.0000
0.5000 0.5000 0.5000
```

Properties
Its total energy is -89.66 eV for the cell shown. The density of states at the Fermi level is 1.471 states/eV/atom. The uncorrected formation energy comes out at -0.281 eV per atom. Its volume is 31.3 Å³/atom.

***

[5]
Here is a relaxed structure of ErScB12 from Alexandria. Energies are from GGA-PBE.

POSCAR file:
```
ErScB12
1.0
-3.0159 -0.6590 -2.6679
1.2727 -3.8456 -0.4888
-4.8709 -2.3868 6.0957
B Er Sc
12 1 1
direct
0.8013 0.5000 0.7504
0.8013 0.5000 0.2496
0.5000 0.5000 0.9009
0.5000 0.5000 0.4005
0.5000 0.8013 0.7504
0.5000 0.5000 0.5995
0.5000 0.5000 0.0991
0.5000 0.1987 0.7504
0.1987 0.5000 0.7504
0.5000 0.8013 0.2496
0.5000 0.1987 0.2496
0.1987 0.5000 0.2496
0.0000 0.0000 0.5000
0.0000 0.0000 0.0000
```

Properties
The value obtained for the formation energy is -389 kJ/mol of formula units. Its total energy is -95.06 eV for the cell shown. The density of states at the Fermi level is 0.144 states/eV/atom. Its volume is 9.7 Å³/atom.

***

[6]
Here is a relaxed structure of ErSc2B6 from Alexandria. Energies are from GGA-PBE.

POSCAR file:
```
ErSc2B6
1.0
-1.7959 1.8800 -2.1050
-5.5450 -0.1577 1.9318
-0.4192 5.3213 2.4520
Sc B Er
2 6 1
direct
0.3324 0.1676 0.1676
0.6676 0.8324 0.8324
0.8065 0.4263 0.9606
0.0000 0.8778 0.1222
0.0000 0.1222 0.8778
0.1935 0.5737 0.0394
0.8065 0.9606 0.4263
0.1935 0.0394 0.5737
0.5000 0.5000 0.5000
```

Properties
The value obtained for the formation energy is -276 kJ/mol of formula units. Its total energy is -60.16 eV for the cell shown. The density of states at the Fermi level is 0.320 states/eV/atom. Its volume is 11.7 Å³/atom.

***

Copy entry 4 word for word.
Here is a relaxed structure of Er6BSb2 from Alexandria. Energies are from GGA-PBE.

POSCAR file:
```
Er6BSb2
1.0
-5.4341 2.7775 -2.5868
-3.6893 -2.8037 4.7396
1.7249 10.3001 7.4357
Er Sb B
12 4 2
direct
0.2263 0.7737 0.5000
0.6888 0.6888 0.3636
0.8112 0.1888 0.8636
0.8112 0.1888 0.1364
0.1888 0.8112 0.8636
0.3112 0.3112 0.3636
0.3112 0.3112 0.6364
0.1888 0.8112 0.1364
0.7263 0.7263 0.0000
0.7737 0.2263 0.5000
0.2737 0.2737 0.0000
0.6888 0.6888 0.6364
0.5000 0.5000 0.1736
0.0000 0.0000 0.3264
0.0000 0.0000 0.6736
0.5000 0.5000 0.8264
0.0000 0.0000 0.0000
0.5000 0.5000 0.5000
```

Properties
Its total energy is -89.66 eV for the cell shown. The density of states at the Fermi level is 1.471 states/eV/atom. The uncorrected formation energy comes out at -0.281 eV per atom. Its volume is 31.3 Å³/atom.